# 1
The following is a PBE-GGA calculation of a relaxed NbPb3F6 crystal, from the Open Quantum Materials Database.

The space group is P-31m (No. 162) and the conventional cell measures 5.3815, 5.3815 and 7.3306 Å, with angles of 90.00, 90.00 and 120.00 degrees. The inequivalent atoms are Nb at (0.0000, 0.0000, 0.0000), Pb at (0.0000, 0.0000, 0.5000), Pb at (0.3333, 0.6667, 0.5000) and F at (0.0000, 0.2932, 0.1552).

For the total magnetization, the calculation gives 0.0 μB per formula unit. As for the final energy: -5.204 eV/atom.

=====

# 2
The following is a PBE-GGA calculation of a relaxed NbPbF6 crystal, from the Open Quantum Materials Database.

The space group is R-3 (No. 148, hexagonal axes) and the conventional cell measures 5.1203, 5.1203 and 14.4571 Å, with angles of 90.00, 90.00 and 120.00 degrees. The inequivalent atoms are Nb at (0.0000, 0.0000, 0.0000), Pb at (0.0000, 0.0000, 0.5000) and F at (0.0126, 0.4068, 0.4130).

For the total magnetization, the calculation gives 1.0 μB per formula unit. As for the final energy: -5.704 eV/atom.

=====

# 3
The following is a PBE-GGA calculation of a relaxed NbPbF7 crystal, from the Open Quantum Materials Database.

The space group is P2_1/m (No. 11) and the conventional cell measures 4.741, 7.164 and 6.597 Å, with angles of 90.00, 93.94 and 90.00 degrees. The inequivalent atoms are Nb at (0.040, 0.250, 0.207), Pb at (0.468, 0.250, 0.680), F at (0.091, 0.750, 0.508), F at (0.116, 0.750, 0.078), F at (0.189, 0.528, 0.803), F at (0.307, 0.069, 0.359) and F at (0.373, 0.250, 0.053).

For the total magnetization, the calculation gives 0.0 μB per formula unit. As for the final energy: -5.774 eV/atom.

=====

# 4
The following is a PBE-GGA calculation of a relaxed NbPb2F8 crystal, from the Open Quantum Materials Database.

The space group is I-4 (No. 82) and the conventional cell measures 5.149, 5.149 and 11.401 Å, with angles of 90.00, 90.00 and 90.00 degrees. The inequivalent atoms are Nb at (0.000, 0.000, 0.000), Pb at (0.000, 0.000, 0.335), F at (0.108, 0.219, 0.848) and F at (0.166, 0.676, 0.449).

For the total magnetization, the calculation gives 1.0 μB per formula unit. As for the final energy: -5.462 eV/atom.

=====

# 5
The following is a PBE-GGA calculation of a relaxed PrNb3F15 crystal, from the Open Quantum Materials Database.

The space group is R3m (No. 160, hexagonal axes) and the conventional cell measures 12.0675, 12.0675 and 5.8909 Å, with angles of 90.00, 90.00 and 120.00 degrees. The inequivalent atoms are Pr at (0.0000, 0.0000, 0.0000), Nb at (0.0384, 0.5192, 0.1521), F at (0.0699, 0.1397, 0.2996), F at (0.0816, 0.3709, 0.2444), F at (0.0888, 0.1776, 0.7526) and F at (0.2198, 0.4397, 0.7023).

For the total magnetization, the calculation gives 3.0 μB per formula unit. As for the final energy: -6.397 eV/atom.

=====

# 6
The following is a PBE-GGA calculation of a relaxed RbNbF6 crystal, from the Open Quantum Materials Database.

The space group is P-4c2 (No. 116) and the conventional cell measures 5.066, 5.066 and 9.446 Å, with angles of 90.00, 90.00 and 90.00 degrees. The inequivalent atoms are Rb at (0.000, 0.000, 0.000), Nb at (0.500, 0.500, 0.250), F at (0.229, 0.229, 0.250) and F at (0.307, 0.324, 0.605).

For the total magnetization, the calculation gives 0.0 μB per formula unit. As for the final energy: -5.780 eV/atom.

=====

# 7
The following is a PBE-GGA calculation of a relaxed RbNb4Se5F crystal, from the Open Quantum Materials Database.

The space group is P4/mmm (No. 123) and the conventional cell measures 5.060, 5.060 and 9.152 Å, with angles of 90.00, 90.00 and 90.00 degrees. The inequivalent atoms are Rb at (0.000, 0.000, 0.000), Nb at (0.000, 0.500, 0.500), Nb at (0.500, 0.500, 0.292), Se at (0.000, 0.000, 0.500), Se at (0.000, 0.500, 0.221) and F at (0.500, 0.500, 0.000).

For the total magnetization, the calculation gives 0.0 μB per formula unit. As for the final energy: -6.327 eV/atom.

=====

# 8
The following is a PBE-GGA calculation of a relaxed TbNbS2F2 crystal, from the Open Quantum Materials Database.

The space group is P4mm (No. 99) and the conventional cell measures 3.640, 3.640 and 6.910 Å, with angles of 90.00, 90.00 and 90.00 degrees. The inequivalent atoms are Tb at (0.000, 0.000, 0.000), Nb at (0.500, 0.500, 0.483), S at (0.000, 0.000, 0.571), S at (0.500, 0.500, 0.841) and F at (0.000, 0.500, 0.203).

For the total magnetization, the calculation gives 1.6 μB per formula unit. As for the final energy: -6.607 eV/atom.